Material: In2WBr
Method: DFT, PBE
State: optimized geometry

a = 5.0624 Å, b = 5.0624 Å, c = 5.0624 Å
α = 60.00°, β = 60.00°, γ = 60.00°
With the nearest neighbours (Å) after each atom.
Element x y z (fractional)
1 In 0.0000 0.0000 0.0000  4 In 3.10, 4 W 3.10
2 In 0.2500 0.2500 0.2500  4 In 3.10, 4 Br 3.10
3 W 0.7500 0.7500 0.7500  4 In 3.10, 4 Br 3.10
4 Br 0.5000 0.5000 0.5000  4 In 3.10, 4 W 3.10

Calculated values
Raw formation energy: 1013 meV/atom
DFT total energy: -16.05 eV per cell
Relative energy among the computed polymorphs: 653.0 meV/atom